Material: Tm2ThNpAs4
Method: DFT, GGA-PBE
State: optimized geometry

Lattice parameters (Å, degrees): 4.130 7.152 7.144 109.52 90.00 90.00
Each line ends with the local moment (μB).
Fractional positions:
Tm  0.500  0.000  0.500  0.01
Tm  0.000  0.500  0.500  0.00
Th  0.500  0.500  0.000  0.04
Np  0.000  0.000  0.000  3.81
As  0.500  0.248  0.256  -0.05
As  0.500  0.752  0.744  -0.05
As  0.000  0.243  0.740  -0.02
As  0.000  0.757  0.260  -0.02

Properties
Its symmetry is P2/m (10). For the calculated volume, the calculation gives 24.86 Å³ per atom. For the formation energy, the calculation gives -1.27 eV/atom. For the spin magnetization, the calculation gives 4.0 μB/f.u.


Material: TmThNp2As4
Method: DFT, GGA-PBE
State: optimized geometry

Lattice parameters (Å, degrees): 4.138 7.166 7.185 70.53 90.00 90.00
Each line ends with the local moment (μB).
Fractional positions:
Tm  0.000  0.500  0.500  -0.02
Th  0.500  0.500  0.000  0.00
Np  0.000  0.000  0.000  3.78
Np  0.500  0.000  0.500  -3.71
As  0.000  0.756  0.741  0.03
As  0.000  0.244  0.259  0.03
As  0.500  0.752  0.255  -0.02
As  0.500  0.248  0.745  -0.02

Properties
Its symmetry is P2/m (10). For the calculated volume, the calculation gives 25.11 Å³ per atom. For the formation energy, the calculation gives -1.04 eV/atom. For the spin magnetization, the calculation gives 0.0 μB/f.u.


Material: ThNpU2As4
Method: DFT, GGA-PBE
State: optimized geometry

Lattice parameters (Å, degrees): 4.113 7.284 7.105 70.88 90.00 90.00
Each line ends with the local moment (μB).
Fractional positions:
Th  0.000  0.500  0.500  0.04
Np  0.500  0.500  0.000  3.85
U  0.000  0.000  0.000  2.23
U  0.500  0.000  0.500  2.31
As  0.000  0.755  0.753  -0.07
As  0.000  0.245  0.247  -0.07
As  0.500  0.759  0.242  -0.06
As  0.500  0.241  0.758  -0.06

Properties
Its symmetry is P2/m (10). For the calculated volume, the calculation gives 25.14 Å³ per atom. For the formation energy, the calculation gives -0.88 eV/atom. For the spin magnetization, the calculation gives 9.1 μB/f.u.


Material: Th2Np3UAs6
Method: DFT, GGA-PBE
State: optimized geometry

Lattice parameters (Å, degrees): 4.152 8.340 9.309 103.14 102.88 90.00
Each line ends with the local moment (μB).
Fractional positions:
Th  0.835  0.669  0.670  0.02
Th  0.165  0.331  0.330  0.02
Np  0.500  0.500  0.000  3.81
Np  0.832  0.167  0.663  3.78
Np  0.168  0.833  0.337  3.78
U  0.500  0.000  0.000  -2.11
As  0.335  0.926  0.669  -0.04
As  0.665  0.589  0.330  -0.06
As  0.665  0.074  0.331  -0.04
As  0.996  0.246  0.992  -0.02
As  0.004  0.754  0.008  -0.02
As  0.335  0.411  0.670  -0.06

Properties
Its symmetry is C2/m (12). For the calculated volume, the calculation gives 25.46 Å³ per atom. For the formation energy, the calculation gives -0.91 eV/atom. For the spin magnetization, the calculation gives 9.8 μB/f.u.


Material: ThNp2UAs4
Method: DFT, GGA-PBE
State: optimized geometry

Lattice parameters (Å, degrees): 4.154 7.247 7.113 109.53 90.00 90.00
Each line ends with the local moment (μB).
Fractional positions:
Th  0.000  0.000  0.000  0.05
Np  0.500  0.000  0.500  3.85
Np  0.000  0.500  0.500  3.78
U  0.500  0.500  0.000  2.30
As  0.500  0.258  0.257  -0.07
As  0.500  0.742  0.743  -0.07
As  0.000  0.254  0.747  -0.08
As  0.000  0.746  0.253  -0.08

Properties
Its symmetry is P2/m (10). For the calculated volume, the calculation gives 25.23 Å³ per atom. For the formation energy, the calculation gives -0.88 eV/atom. For the spin magnetization, the calculation gives 10.7 μB/f.u.


Material: YThNp2As4
Method: DFT, GGA-PBE
State: optimized geometry

Lattice parameters (Å, degrees): 4.151 7.210 7.190 109.46 90.00 90.00
Each line ends with the local moment (μB).
Fractional positions:
Y  0.000  0.000  0.000  -0.01
Th  0.500  0.500  0.000  0.00
Np  0.500  0.000  0.500  -3.72
Np  0.000  0.500  0.500  3.76
As  0.500  0.248  0.255  -0.02
As  0.500  0.752  0.745  -0.02
As  0.000  0.243  0.743  0.02
As  0.000  0.757  0.257  0.02

Properties
Its symmetry is P2/m (10). For the calculated volume, the calculation gives 25.36 Å³ per atom. For the formation energy, the calculation gives -1.06 eV/atom. For the spin magnetization, the calculation gives 0.0 μB/f.u.


Material: ThZrNp2As4
Method: DFT, GGA-PBE
State: optimized geometry

Lattice parameters (Å, degrees): 4.095 7.116 7.048 109.42 90.00 90.00
Each line ends with the local moment (μB).
Fractional positions:
Th  0.500  0.500  0.000  -0.02
Zr  0.000  0.000  0.000  -0.05
Np  0.500  0.000  0.500  -3.70
Np  0.000  0.500  0.500  3.81
As  0.500  0.237  0.245  -0.02
As  0.500  0.763  0.755  -0.02
As  0.000  0.236  0.748  0.02
As  0.000  0.764  0.252  0.02

Properties
Its symmetry is P2/m (10). For the calculated volume, the calculation gives 24.21 Å³ per atom. For the formation energy, the calculation gives -0.96 eV/atom. For the spin magnetization, the calculation gives 0.0 μB/f.u.


Material: NpTiAs
Method: DFT, GGA-PBE
State: optimized geometry

Lattice parameters (Å, degrees): 5.704 4.069 8.175 76.47 69.58 45.50
Each line ends with the local moment (μB).
Fractional positions:
Ti  0.764  0.974  0.498  0.26
Ti  0.236  0.026  0.502  0.26
Np  0.676  0.478  0.171  3.78
Np  0.324  0.522  0.829  3.78
As  0.159  0.478  0.204  -0.07
As  0.841  0.522  0.796  -0.07

Properties
Its symmetry is C2/m (12). For the calculated volume, the calculation gives 21.14 Å³ per atom. For the formation energy, the calculation gives -0.21 eV/atom. For the spin magnetization, the calculation gives 4.3 μB/f.u.


Q: Which formula does entry 6 have?
A: YThNp2As4